Entry 1:
{"formula": "TiBIr2", "functional": "PBE", "state": "relaxed", "delta_e_f_ev_per_atom": -0.161, "crystal_system": "tetragonal", "cell": [[3.9245, 0.0000, 0.0000], [0.0000, 3.9245, 0.0000], [0.0000, 0.0000, 3.3580]], "species": ["Ti", "B", "Ir", "Ir"], "fractional_positions": [[0.0000, 0.0000, 0.0000], [0.5000, 0.5000, 0.0000], [0.0000, 0.5000, 0.5000], [0.5000, 0.0000, 0.5000]]}


Entry 2:
{"formula": "Ti2BIr", "functional": "PBE", "state": "relaxed", "delta_e_f_ev_per_atom": -0.164, "crystal_system": "tetragonal", "cell": [[-3.7935, 3.7935, 2.0969], [3.7935, -3.7935, 2.0969], [3.7935, 3.7935, -2.0969]], "species": ["Ti", "Ti", "Ti", "Ti", "B", "B", "Ir", "Ir"], "fractional_positions": [[0.0004, 0.6250, 0.8754], [0.3750, 0.2504, 0.3754], [0.7496, 0.1250, 0.1246], [0.8750, 0.9996, 0.6246], [0.0000, 0.0000, 0.0000], [0.7500, 0.2500, 0.5000], [0.2500, 0.7500, 0.5000], [0.5000, 0.5000, 0.0000]]}